# PBE Cu3NiAu, relaxed
data_Cu3NiAu
_symmetry_space_group_name_H-M 'P m -3 m'
_symmetry_Int_Tables_number 221
_symmetry_space_group_name_Hall '-P 4 2 3'
_cell_length_a 4.353
_cell_length_b 4.353
_cell_length_c 4.353
_cell_angle_alpha 90.00
_cell_angle_beta 90.00
_cell_angle_gamma 90.00
loop_
_atom_site_label
_atom_site_fract_x
_atom_site_fract_y
_atom_site_fract_z
_atom_site_occupancy
Cu1 0.000 0.000 0.500 1
Ni1 0.000 0.000 0.000 1
Au1 0.500 0.500 0.500 1
# - magnetic moment (μB per formula unit) = 0.01
# - DFT formation energy (eV per atom) = 0.8125